Material: Nd2SmDyHo2
Method: DFT, GGA-PBE
State: relaxed

Cell: 6.603 18.102 3.399 Å, 90.00 90.00 90.00°
Element x y z (fractional)
Nd1 0.227 0.187 0.000
Nd2 0.273 0.687 0.500
Nd3 0.727 0.313 0.500
Nd4 0.773 0.813 0.000
Sm1 0.000 0.500 0.000
Sm2 0.500 0.000 0.500
Dy1 0.000 0.000 0.000
Dy2 0.500 0.500 0.500
Ho1 0.226 0.354 0.500
Ho2 0.274 0.854 0.000
Ho3 0.726 0.146 0.000
Ho4 0.774 0.646 0.500

Calculated values
ΔH_f (0 K) (eV per atom): 0.26
Uncorrected energy (eV/atom): -4.405

Material: TaCo2CuH
Method: DFT, GGA-PBE
State: relaxed

Cell: 3.734 3.734 3.790 Å, 90.00 90.00 90.00°
Element x y z (fractional)
Ta1 0.000 0.000 0.000
Co1 0.000 0.500 0.500
Co2 0.500 0.000 0.500
Cu1 0.500 0.500 0.000
H1 0.000 0.000 0.500

Calculated values
Uncorrected energy (eV/atom): -6.686
Distance to the lowest polymorph of the same formula (meV/atom): 0

Material: AlRu2Cl
Method: DFT, GGA-PBE
State: relaxed

Cell: 2.905 2.920 7.396 Å, 90.00 90.00 90.00°
Element x y z (fractional)
Al1 0.000 0.000 0.000
Ru1 0.000 0.000 0.436
Ru2 0.500 0.500 0.218
Cl1 0.500 0.000 0.725

Calculated values
Uncorrected energy (eV/atom): -6.141
Formation energy without anion corrections (eV/f.u.): -0.42
Distance to the lowest polymorph of the same formula (meV/atom): 0

Material: AcErIn6
Method: DFT, GGA-PBE
State: relaxed

Cell: 4.790 4.790 9.504 Å, 90.00 90.00 90.00°
Element x y z (fractional)
Ac1 0.000 0.000 0.000
Er1 0.000 0.000 0.500
In1 0.000 0.500 0.264
In2 0.000 0.500 0.736
In3 0.500 0.000 0.264
In4 0.500 0.000 0.736
In5 0.500 0.500 0.000
In6 0.500 0.500 0.500

Calculated values
ΔH_f (0 K) (eV per atom): -0.38
Uncorrected energy (eV/atom): -3.521

no.,total moment (μB/cell)
1,0.0
2,0.0
3,0.0
4,0.0